(1)
The following is a DFT calculation (GGA-PBE) of a relaxed BeSNO2 crystal.

Properties
* formation energy without anion corrections: 1.6 eV/f.u.
* density: 2.40 g cm⁻³

Geometry as POSCAR:
```
BeSNO2
1.0
3.028 0.000 0.000
0.000 3.028 0.000
0.000 0.000 6.579
Be S N O
1 1 1 2
Direct
0.000 0.000 0.000
0.500 0.500 0.500
0.000 0.000 0.500
0.000 0.500 0.000
0.500 0.000 0.000
```

(2)
The following is a DFT calculation (GGA-PBE) of a relaxed BeSNO2 crystal.

Properties
* formation energy without anion corrections: 3.3 eV/f.u.
* density: 3.27 g cm⁻³

Geometry as POSCAR:
```
BeSNO2
1.0
3.380 0.000 0.000
0.000 3.380 0.000
0.000 0.000 3.873
Be S N O
1 1 1 2
Direct
0.000 0.000 0.000
0.500 0.500 0.500
0.500 0.500 0.000
0.000 0.500 0.500
0.500 0.000 0.500
```

(3)
The following is a DFT calculation (GGA-PBE) of a relaxed ScBeNO2 crystal.

Properties
* formation energy without anion corrections: -6.6 eV/f.u.
* density: 3.89 g cm⁻³

Geometry as POSCAR:
```
ScBeNO2
1.0
3.554 0.000 0.000
0.000 3.554 0.000
0.000 0.000 3.382
Sc Be N O
1 1 1 2
Direct
0.000 0.000 0.000
0.500 0.500 0.500
0.500 0.500 0.000
0.000 0.500 0.500
0.500 0.000 0.500
```

(4)
The following is a DFT calculation (GGA-PBE) of a relaxed ScBeNO2 crystal.

Properties
* formation energy without anion corrections: -1.1 eV/f.u.
* density: 2.46 g cm⁻³

Geometry as POSCAR:
```
ScBeNO2
1.0
4.004 0.000 0.000
0.000 4.004 0.000
0.000 0.000 4.211
Sc Be N O
1 1 1 2
Direct
0.000 0.000 0.000
0.500 0.500 0.500
0.000 0.000 0.500
0.000 0.500 0.000
0.500 0.000 0.000
```

(5)
The following is a DFT calculation (GGA-PBE) of a relaxed BeSeNO2 crystal.

Properties
* formation energy without anion corrections: 6.0 eV/f.u.
* density: 4.17 g cm⁻³

Geometry as POSCAR:
```
BeSeNO2
1.0
3.580 0.000 0.000
0.000 3.580 0.000
0.000 0.000 4.157
Be Se N O
1 1 1 2
Direct
0.000 0.000 0.000
0.500 0.500 0.000
0.500 0.500 0.500
0.000 0.500 0.500
0.500 0.000 0.500
```

(6)
The following is a DFT calculation (GGA-PBE) of a relaxed BeSeNO2 crystal.

Properties
* formation energy without anion corrections: 3.6 eV/f.u.
* density: 4.19 g cm⁻³

Geometry as POSCAR:
```
BeSeNO2
1.0
3.671 0.000 0.000
0.000 3.671 0.000
0.000 0.000 3.944
Be Se N O
1 1 1 2
Direct
0.000 0.000 0.000
0.500 0.500 0.500
0.500 0.500 0.000
0.000 0.500 0.500
0.500 0.000 0.500
```

(7)
The following is a DFT calculation (GGA-PBE) of a relaxed BeSeNO2 crystal.

Properties
* formation energy without anion corrections: 0.7 eV/f.u.
* density: 3.37 g cm⁻³

Geometry as POSCAR:
```
BeSeNO2
1.0
3.093 0.000 0.000
0.000 3.093 0.000
0.000 0.000 6.898
Be Se N O
1 1 1 2
Direct
0.000 0.000 0.000
0.500 0.500 0.500
0.000 0.000 0.500
0.000 0.500 0.000
0.500 0.000 0.000
```

(8)
The following is a DFT calculation (GGA-PBE) of a relaxed BeSiNO2 crystal.

Properties
* formation energy without anion corrections: -0.8 eV/f.u.
* density: 2.67 g cm⁻³

Geometry as POSCAR:
```
BeSiNO2
1.0
3.006 0.000 0.000
0.000 3.006 0.000
0.000 0.000 5.713
Be Si N O
1 1 1 2
Direct
0.000 0.000 0.000
0.500 0.500 0.500
0.000 0.000 0.500
0.000 0.500 0.000
0.500 0.000 0.000
```

(9)
The following is a DFT calculation (GGA-PBE) of a relaxed BeSiNO2 crystal.

Properties
* formation energy without anion corrections: -3.3 eV/f.u.
* density: 3.20 g cm⁻³

Geometry as POSCAR:
```
BeSiNO2
1.0
3.479 0.000 0.000
0.000 3.479 0.000
0.000 0.000 3.568
Be Si N O
1 1 1 2
Direct
0.000 0.000 0.000
0.500 0.500 0.500
0.500 0.500 0.000
0.000 0.500 0.500
0.500 0.000 0.500
```

(10)
The following is a DFT calculation (GGA-PBE) of a relaxed BeSnN2O crystal.

Properties
* formation energy without anion corrections: 6.2 eV/f.u.
* density: 4.11 g cm⁻³

Geometry as POSCAR:
```
BeSnN2O
1.0
4.153 0.000 0.000
0.000 4.153 0.000
0.000 0.000 4.021
Be Sn N O
1 1 2 1
Direct
0.000 0.000 0.000
0.500 0.500 0.500
0.000 0.500 0.500
0.500 0.000 0.500
0.500 0.500 0.000
```

(11)
The following is a DFT calculation (GGA-PBE) of a relaxed BeSnN2O crystal.

Properties
* formation energy without anion corrections: 2.6 eV/f.u.
* density: 6.03 g cm⁻³

Geometry as POSCAR:
```
BeSnN2O
1.0
3.741 0.000 0.000
0.000 3.741 0.000
0.000 0.000 3.378
Be Sn N O
1 1 2 1
Direct
0.000 0.000 0.000
0.500 0.500 0.500
0.000 0.500 0.000
0.500 0.000 0.000
0.000 0.000 0.500
```

(12)
The following is a DFT calculation (GGA-PBE) of a relaxed SrBeNO2 crystal.

Properties
* formation energy without anion corrections: 5.2 eV/f.u.
* density: 2.31 g cm⁻³

Geometry as POSCAR:
```
SrBeNO2
1.0
4.577 0.000 0.000
0.000 4.577 0.000
0.000 0.000 4.889
Sr Be N O
1 1 1 2
Direct
0.000 0.000 0.000
0.500 0.500 0.500
0.000 0.000 0.500
0.000 0.500 0.000
0.500 0.000 0.000
```

Calculated spin magnetization in order - 0.174 0.000 1.014 2.015 0.756 0.000 0.300 0.372 0.000 2.008 0.000 3.080 Bohr magnetons per cell
Calculated energy in order - -4.894 -4.558 -6.977 -5.884 -3.897 -4.363 -4.950 -5.631 -6.133 -4.619 -5.354 -3.680 eV per atom